Below is RbMgInAs2 after structural relaxation, with properties calculated at the PBE level.

Geometry as CIF:
```
data_RbMgInAs2
_symmetry_space_group_name_H-M 'C 1 2/m 1'
_symmetry_Int_Tables_number 12
_cell_length_a 14.2140
_cell_length_b 4.4620
_cell_length_c 10.1660
_cell_angle_alpha 90.00
_cell_angle_beta 98.25
_cell_angle_gamma 90.00
loop_
_symmetry_equiv_pos_as_xyz
'x,y,z'
'-x,-y,-z'
'-x,y,-z'
'x,-y,z'
'x+1/2,y+1/2,z'
'-x+1/2,-y+1/2,-z'
'-x+1/2,y+1/2,-z'
'x+1/2,-y+1/2,z'
loop_
_atom_site_label
_atom_site_type_symbol
_atom_site_fract_x
_atom_site_fract_y
_atom_site_fract_z
Rb1 Rb 0.1510 0.0000 0.1595
Mg1 Mg 0.1812 0.0000 0.5689
In1 In 0.0522 0.5000 0.6835
As1 As 0.1248 0.0000 0.8104
As2 As 0.1294 0.5000 0.4358
```

## Properties
formation energy from the elements = -495 meV/atom


Below is Mg2InSiAs after structural relaxation, with properties calculated at the PBE level.

Geometry as CIF:
```
data_Mg2InSiAs
_symmetry_space_group_name_H-M 'P 4/m m m'
_symmetry_Int_Tables_number 123
_symmetry_space_group_name_Hall '-P 4 2'
_cell_length_a 5.2392
_cell_length_b 5.2392
_cell_length_c 5.0478
_cell_angle_alpha 90.00
_cell_angle_beta 90.00
_cell_angle_gamma 90.00
loop_
_atom_site_label
_atom_site_type_symbol
_atom_site_fract_x
_atom_site_fract_y
_atom_site_fract_z
Mg1 Mg 0.0000 0.5000 0.0000
In1 In 0.0000 0.0000 0.0000
Si1 Si 0.0000 0.0000 0.5000
As1 As 0.5000 0.5000 0.5000
```

## Properties
raw formation energy = 72.4 kJ per mole of atoms


Below is Mg2TaInAs after structural relaxation, with properties calculated at the PBE level.

Geometry as CIF:
```
data_Mg2TaInAs
_symmetry_space_group_name_H-M 'P 4/m m m'
_symmetry_Int_Tables_number 123
_symmetry_space_group_name_Hall '-P 4 2'
_cell_length_a 5.5138
_cell_length_b 5.5138
_cell_length_c 4.9280
_cell_angle_alpha 90.00
_cell_angle_beta 90.00
_cell_angle_gamma 90.00
loop_
_atom_site_label
_atom_site_type_symbol
_atom_site_fract_x
_atom_site_fract_y
_atom_site_fract_z
Mg1 Mg 0.0000 0.5000 0.0000
Ta1 Ta 0.0000 0.0000 0.0000
In1 In 0.5000 0.5000 0.5000
As1 As 0.0000 0.0000 0.5000
```

## Properties
formation energy from the elements = 624 meV/atom


Below is MgVInAs2 after structural relaxation, with properties calculated at the PBE level.

Geometry as CIF:
```
data_MgVInAs2
_symmetry_space_group_name_H-M 'P 4/m m m'
_symmetry_Int_Tables_number 123
_symmetry_space_group_name_Hall '-P 4 2'
_cell_length_a 5.2443
_cell_length_b 5.2443
_cell_length_c 5.0506
_cell_angle_alpha 90.00
_cell_angle_beta 90.00
_cell_angle_gamma 90.00
loop_
_atom_site_label
_atom_site_type_symbol
_atom_site_fract_x
_atom_site_fract_y
_atom_site_fract_z
Mg1 Mg 0.0000 0.0000 0.0000
V1 V 0.5000 0.5000 0.0000
In1 In 0.0000 0.0000 0.5000
As1 As 0.0000 0.5000 0.5000
```

## Properties
formation energy from the elements = 1342 meV/atom


Below is YMgInAs2 after structural relaxation, with properties calculated at the PBE level.

Geometry as CIF:
```
data_YMgInAs2
_symmetry_space_group_name_H-M 'P 4/m m m'
_symmetry_Int_Tables_number 123
_symmetry_space_group_name_Hall '-P 4 2'
_cell_length_a 5.3010
_cell_length_b 5.3010
_cell_length_c 5.0402
_cell_angle_alpha 90.00
_cell_angle_beta 90.00
_cell_angle_gamma 90.00
loop_
_atom_site_label
_atom_site_type_symbol
_atom_site_fract_x
_atom_site_fract_y
_atom_site_fract_z
Y1 Y 0.0000 0.0000 0.0000
Mg1 Mg 0.5000 0.5000 0.0000
In1 In 0.5000 0.5000 0.5000
As1 As 0.0000 0.5000 0.5000
```

## Properties
formation energy from the elements = 353 meV/atom


Below is MnInAs2 after structural relaxation, with properties calculated at the PBE level.

Geometry as CIF:
```
data_MnInAs2
_symmetry_space_group_name_H-M 'R 3 m'
_symmetry_Int_Tables_number 160
_symmetry_space_group_name_Hall 'R 3 -2"'
_cell_length_a 3.2160
_cell_length_b 3.2160
_cell_length_c 25.7905
_cell_angle_alpha 90.00
_cell_angle_beta 90.00
_cell_angle_gamma 120.00
loop_
_atom_site_label
_atom_site_type_symbol
_atom_site_fract_x
_atom_site_fract_y
_atom_site_fract_z
Mn1 Mn 0.0000 0.0000 0.0000
In1 In 0.0000 0.0000 0.2497
As1 As 0.0000 0.0000 0.4895
As2 As 0.0000 0.0000 0.7237
```

## Properties
formation energy from the elements = 239 meV/atom